[1]
TaNiMoH: optimized geometry, PBE.

The value obtained for the uncorrected energy is -7.98 eV per atom. The volume comes out at 95 Å³/cell.

Cell: 6.804 3.218 4.495 Å, 90.00 104.23 90.00°
Element x y z (fractional)
Ta 0.055 0.000 0.125
Ta 0.055 0.500 0.625
Ni 0.367 0.000 0.735
Ni 0.367 0.500 0.235
Mo 0.708 0.000 0.500
Mo 0.708 0.500 0.000
H 0.541 0.000 0.078
H 0.541 0.500 0.578

=====

[2]
TcNiMo2H: optimized geometry, PBE.

The value obtained for the uncorrected energy is -8.18 eV per atom. The volume comes out at 60 Å³/cell.

Cell: 3.929 3.929 3.863 Å, 90.00 90.00 90.00°
Element x y z (fractional)
Ni 0.500 0.500 0.500
Mo 0.000 0.500 0.000
Mo 0.500 0.000 0.000
Tc 0.000 0.000 0.500
H 0.000 0.000 0.000

=====

[3]
TcNiMo2H: optimized geometry, PBE.

The value obtained for the uncorrected energy is -8.22 eV per atom. The volume comes out at 59 Å³/cell.

Cell: 3.990 3.990 3.712 Å, 90.00 90.00 90.00°
Element x y z (fractional)
Ni 0.000 0.000 0.500
Mo 0.000 0.500 0.000
Mo 0.500 0.000 0.000
Tc 0.500 0.500 0.500
H 0.000 0.000 0.000

=====

[4]
TcNiMoH3: optimized geometry, PBE.

The value obtained for the uncorrected energy is -6.04 eV per atom. The volume comes out at 104 Å³/cell.

Cell: 2.846 5.792 6.348 Å, 85.69 90.00 90.00°
Element x y z (fractional)
Tc 0.250 0.623 0.138
Tc 0.750 0.377 0.862
Ni 0.250 0.167 0.553
Ni 0.750 0.833 0.447
Mo 0.750 0.893 0.841
Mo 0.250 0.107 0.159
H 0.250 0.655 0.423
H 0.750 0.847 0.163
H 0.750 0.386 0.170
H 0.750 0.345 0.577
H 0.250 0.614 0.830
H 0.250 0.153 0.837

=====

[5]
Tc2NiMoH: optimized geometry, PBE.

The value obtained for the uncorrected energy is -8.08 eV per atom. The volume comes out at 58 Å³/cell.

Cell: 3.868 3.868 3.902 Å, 90.00 90.00 90.00°
Element x y z (fractional)
Ni 0.500 0.500 0.500
Mo 0.000 0.000 0.500
Tc 0.000 0.500 0.000
Tc 0.500 0.000 0.000
H 0.000 0.000 0.000

=====

[6]
Tc2NiMoH: optimized geometry, PBE.

The value obtained for the uncorrected energy is -8.15 eV per atom. The volume comes out at 58 Å³/cell.

Cell: 3.965 3.965 3.671 Å, 90.00 90.00 90.00°
Element x y z (fractional)
Ni 0.000 0.000 0.500
Mo 0.500 0.500 0.500
Tc 0.000 0.500 0.000
Tc 0.500 0.000 0.000
H 0.000 0.000 0.000

=====

[7]
TiNi2MoH: optimized geometry, PBE.

The value obtained for the uncorrected energy is -6.87 eV per atom. The volume comes out at 55 Å³/cell.

Cell: 3.686 3.686 4.022 Å, 90.00 90.00 90.00°
Element x y z (fractional)
Ni 0.000 0.500 0.000
Ni 0.500 0.000 0.000
Mo 0.500 0.500 0.500
H 0.000 0.000 0.000
Ti 0.000 0.000 0.500

=====

[8]
TiNi2MoH: optimized geometry, PBE.

The value obtained for the uncorrected energy is -6.88 eV per atom. The volume comes out at 55 Å³/cell.

Cell: 3.704 3.704 4.015 Å, 90.00 90.00 90.00°
Element x y z (fractional)
Ni 0.000 0.500 0.000
Ni 0.500 0.000 0.000
Mo 0.000 0.000 0.500
H 0.000 0.000 0.000
Ti 0.500 0.500 0.500

=====

[9]
TlNiMo2H: optimized geometry, PBE.

The value obtained for the uncorrected energy is -6.29 eV per atom. The volume comes out at 67 Å³/cell.

Cell: 3.890 4.420 3.890 Å, 90.00 90.00 90.00°
Element x y z (fractional)
Ni 0.000 0.500 0.000
Tl 0.500 0.500 0.500
Mo 0.000 0.000 0.500
Mo 0.500 0.000 0.000
H 0.000 0.000 0.000

=====

[10]
V2NiMoH: optimized geometry, PBE.

The value obtained for the uncorrected energy is -7.64 eV per atom. The volume comes out at 56 Å³/cell.

Cell: 3.815 3.815 3.850 Å, 90.00 90.00 90.00°
Element x y z (fractional)
Ni 0.500 0.500 0.500
Mo 0.000 0.000 0.500
H 0.000 0.000 0.000
V 0.000 0.500 0.000
V 0.500 0.000 0.000

=====

[11]
V2NiMoH: optimized geometry, PBE.

The value obtained for the uncorrected energy is -7.74 eV per atom. The volume comes out at 55 Å³/cell.

Cell: 4.086 4.086 3.314 Å, 90.00 90.00 90.00°
Element x y z (fractional)
Ni 0.000 0.000 0.500
Mo 0.500 0.500 0.500
H 0.000 0.000 0.000
V 0.000 0.500 0.000
V 0.500 0.000 0.000

=====

[12]
VNiMo2H: optimized geometry, PBE.

The value obtained for the uncorrected energy is -7.95 eV per atom. The volume comes out at 58 Å³/cell.

Cell: 3.921 3.921 3.802 Å, 90.00 90.00 90.00°
Element x y z (fractional)
Ni 0.500 0.500 0.500
Mo 0.000 0.500 0.000
Mo 0.500 0.000 0.000
H 0.000 0.000 0.000
V 0.000 0.000 0.500